Record 1
A plane-wave DFT calculation with PBE was carried out for crystalline Ta2In2FeS6 at its relaxed geometry.

Output
* density: 5.8 g/cm3
* symmetry: C2/m (12)
* E_form (uncorrected): -0.625 eV per atom

a = 6.0075 Å, b = 6.0075 Å, c = 7.9890 Å
α = 97.93°, β = 97.93°, γ = 120.21°
Last column: nearest neighbours and their distance in Å.
Fractional positions:
Ta (0.1826, 0.8174, 0.0000)  6 S 2.42-2.54
Ta (0.8174, 0.1826, 0.0000)  6 S 2.42-2.54
In (0.3409, 0.6591, 0.5000)  6 S 3.08-3.14, 1 In 3.31
In (0.6591, 0.3409, 0.5000)  6 S 3.08-3.14, 1 In 3.31
Fe (0.5000, 0.5000, 0.0000)  6 S 2.41-2.51
S (0.0914, 0.4215, 0.8018)  2 Ta 2.42-2.50, 1 Fe 2.51
S (0.2318, 0.2318, 0.1759)  1 Fe 2.41, 2 Ta 2.54
S (0.4215, 0.0914, 0.8018)  2 Ta 2.42-2.50, 1 Fe 2.51
S (0.5785, 0.9086, 0.1982)  2 Ta 2.42-2.50, 1 Fe 2.51
S (0.7682, 0.7682, 0.8241)  1 Fe 2.41, 2 Ta 2.54
S (0.9086, 0.5785, 0.1982)  2 Ta 2.42-2.50, 1 Fe 2.51



Record 2
A plane-wave DFT calculation with PBE was carried out for crystalline NdHoCl at its relaxed geometry.

Output
* excess energy over the best structure of this formula in the dataset: 81 meV per atom
* density: 6.5 g/cm3
* symmetry: P-1 (2)
* E_form (uncorrected): -0.820 eV per atom

a = 3.5635 Å, b = 5.8127 Å, c = 9.1036 Å
α = 85.84°, β = 78.83°, γ = 72.26°
Last column: nearest neighbours and their distance in Å.
Fractional positions:
Nd (0.0454, 0.2002, 0.2096)  4 Cl 2.98-3.18
Nd (0.9546, 0.7998, 0.7904)  4 Cl 2.98-3.18
Ho (0.3396, 0.2657, 0.5573)  1 Cl 2.86, 1 Ho 3.13
Ho (0.6604, 0.7343, 0.4427)  1 Cl 2.86, 1 Ho 3.13
Cl (0.1943, 0.2398, 0.8769)  1 Ho 2.86, 4 Nd 2.98-3.18
Cl (0.8057, 0.7602, 0.1231)  1 Ho 2.86, 4 Nd 2.98-3.18



Record 3
A plane-wave DFT calculation with PBE was carried out for crystalline LaGeN2F at its relaxed geometry.

Output
* excess energy over the best structure of this formula in the dataset: 331 meV per atom
* density: 6.9 g/cm3
* symmetry: P4/mmm (123)
* E_form (uncorrected): -1.035 eV per atom

a = 3.9493 Å, b = 3.9493 Å, c = 4.0171 Å
α = 90.00°, β = 90.00°, γ = 90.00°
Last column: nearest neighbours and their distance in Å.
Fractional positions:
La (0.0000, 0.0000, 0.0000)  4 F 2.79, 8 N 2.82
Ge (0.5000, 0.5000, 0.5000)  4 N 1.97, 2 F 2.01
N (0.0000, 0.5000, 0.5000)  2 Ge 1.97
N (0.5000, 0.0000, 0.5000)  2 Ge 1.97
F (0.5000, 0.5000, 0.0000)  2 Ge 2.01



Record 4
A plane-wave DFT calculation with PBE was carried out for crystalline Ce6SiBr8 at its relaxed geometry.

Output
* density: 5.2 g/cm3
* symmetry: R-3 (148)
* E_form (uncorrected): -1.412 eV per atom

a = 11.3962 Å, b = 11.3962 Å, c = 11.3962 Å
α = 37.14°, β = 37.14°, γ = 37.14°
Last column: nearest neighbours and their distance in Å.
Fractional positions:
Ce (0.1250, 0.4475, 0.7701)  1 Si 2.87, 5 Br 2.97-3.09
Ce (0.2299, 0.8750, 0.5525)  1 Si 2.87, 5 Br 2.97-3.09
Ce (0.4475, 0.7701, 0.1250)  1 Si 2.87, 5 Br 2.97-3.09
Ce (0.5525, 0.2299, 0.8750)  1 Si 2.87, 5 Br 2.97-3.09
Ce (0.7701, 0.1250, 0.4475)  1 Si 2.87, 5 Br 2.97-3.09
Ce (0.8750, 0.5525, 0.2299)  1 Si 2.87, 5 Br 2.97-3.09
Si (0.5000, 0.5000, 0.5000)  6 Ce 2.87
Br (0.0551, 0.7245, 0.3897)  3 Ce 3.01-3.09
Br (0.1667, 0.1667, 0.1667)  6 Ce 2.97
Br (0.2755, 0.6102, 0.9449)  3 Ce 3.01-3.09
Br (0.3897, 0.0551, 0.7245)  3 Ce 3.01-3.09
Br (0.6103, 0.9449, 0.2755)  3 Ce 3.01-3.09
Br (0.7245, 0.3897, 0.0551)  3 Ce 3.01-3.09
Br (0.8333, 0.8333, 0.8333)  6 Ce 2.97
Br (0.9449, 0.2755, 0.6102)  3 Ce 3.01-3.09



Record 5
A plane-wave DFT calculation with PBE was carried out for crystalline SrSn3Au2 at its relaxed geometry.

Output
* excess energy over the best structure of this formula in the dataset: 0 meV per atom
* density: 8.8 g/cm3
* symmetry: C2/m (12)
* DFT formation energy: -0.421 eV/atom

a = 8.9961 Å, b = 8.9961 Å, c = 8.6782 Å
α = 111.72°, β = 111.72°, γ = 29.05°
Last column: nearest neighbours and their distance in Å.
Fractional positions:
Sr (0.1239, 0.1239, 0.1246)  6 Au 3.28-3.65, 6 Sn 3.38-3.64
Sr (0.8761, 0.8761, 0.8754)  6 Au 3.28-3.65, 6 Sn 3.38-3.64
Sn (0.0373, 0.0373, 0.6787)  3 Au 2.82-2.94, 1 Sn 2.87
Sn (0.3221, 0.3221, 0.1476)  3 Au 2.92-2.98, 2 Sn 3.25
Sn (0.3388, 0.3388, 0.5502)  4 Au 2.83-3.01
Sn (0.6612, 0.6612, 0.4498)  4 Au 2.83-3.01
Sn (0.6779, 0.6779, 0.8524)  3 Au 2.92-2.98, 2 Sn 3.25
Sn (0.9627, 0.9627, 0.3213)  3 Au 2.82-2.94, 1 Sn 2.87
Au (0.2030, 0.2030, 0.6623)  6 Sn 2.83-2.94
Au (0.4955, 0.4955, 0.1610)  4 Sn 2.82-3.01, 1 Au 2.86
Au (0.5045, 0.5045, 0.8390)  4 Sn 2.82-3.01, 1 Au 2.86
Au (0.7970, 0.7970, 0.3377)  6 Sn 2.83-2.94



Record 6
A plane-wave DFT calculation with PBE was carried out for crystalline Sr2HO at its relaxed geometry.

Output
* excess energy over the best structure of this formula in the dataset: 0 meV per atom
* density: 3.6 g/cm3
* symmetry: C2/m (12)

a = 7.9734 Å, b = 7.9734 Å, c = 4.9190 Å
α = 107.89°, β = 107.89°, γ = 37.15°
Last column: nearest neighbours and their distance in Å.
Fractional positions:
Sr (0.1290, 0.1290, 0.3796)  2 O 2.53, 3 H 2.56-2.69
Sr (0.3425, 0.3425, 0.0921)  3 O 2.47-2.55, 2 H 2.51
Sr (0.6575, 0.6575, 0.9079)  3 O 2.47-2.55, 2 H 2.51
Sr (0.8710, 0.8710, 0.6204)  2 O 2.53, 3 H 2.56-2.69
H (0.3080, 0.3080, 0.5577)  5 Sr 2.51-2.69
H (0.6920, 0.6920, 0.4423)  5 Sr 2.51-2.69
O (0.1696, 0.1696, 0.9201)  5 Sr 2.47-2.55
O (0.8304, 0.8304, 0.0799)  5 Sr 2.47-2.55



no.,DOS(E_F) (states/eV per cell),final energy (eV per atom),magnetic moment (μB per formula unit)
1,4.22,-6.299,2.82
2,4.19,-4.551,0.00
3,1.65,-6.649,0.00
4,34.71,-5.040,6.40
5,4.23,-3.796,0.00
6,1.09,-4.390,0.00